Material: TiGeBi2Pb
Method: DFT, GGA-PBE
State: relaxed

Results
**Formation enthalpy at 0 K**: 0.94 eV per atom
**Spin magnetization**: 0.19 Bohr magnetons per cell

Unit cell a=5.554 b=5.554 c=5.286 alpha=90.00 beta=90.00 gamma=90.00
Space group P4/mmm (No. 123)
Asymmetric unit:
Ti: 0.000 0.000 0.000 (multiplicity 1)
Ge: 0.500 0.500 0.500 (multiplicity 1)
Bi: 0.000 0.500 0.500 (multiplicity 2)
Pb: 0.500 0.500 0.000 (multiplicity 1)